Below is a relaxed Sr2ScTl crystal, with properties calculated at the GGA-PBEsol level.

Calculated values
- symmetry = Imm2, No. 44
- offset from the most stable computed form (eV per atom) = 0.000
- energy of formation from the pure elements (eV/atom) = -0.083
- crystal system = orthorhombic

a = 3.858 Å, b = 5.775 Å, c = 6.997 Å
α = 114.37°, β = 106.00°, γ = 90.00°
Atoms (fractional coordinates):
Sr1 0.991 0.991 0.982
Sc1 0.203 0.703 0.406
Tl1 0.521 0.521 0.042
Sr2 0.785 0.285 0.571

=====

Below is a relaxed Zr6FeCl15 crystal, with properties calculated at the GGA-PBEsol level.

Calculated values
- symmetry = Im-3m, No. 229
- formation energy from raw total energies (eV/atom) = -1.68
- crystal system = cubic

a = 8.789 Å, b = 8.789 Å, c = 8.789 Å
α = 109.47°, β = 109.47°, γ = 109.47°
Atoms (fractional coordinates):
Cl1 0.497 0.249 0.249
Cl2 0.249 0.000 0.751
Cl3 0.503 0.751 0.751
Zr1 0.760 0.000 0.760
Cl4 0.249 0.249 0.497
Cl5 0.000 0.751 0.249
Cl6 0.751 0.249 0.000
Zr2 0.240 0.240 0.000
Fe1 0.000 0.000 0.000
Cl7 0.000 0.500 0.500
Cl8 0.249 0.497 0.249
Zr3 0.240 0.000 0.240
Zr4 0.000 0.240 0.240
Cl9 0.000 0.249 0.751
Zr5 0.760 0.760 0.000
Cl10 0.751 0.503 0.751
Cl11 0.500 0.500 0.000
Cl12 0.751 0.751 0.503
Zr6 0.000 0.760 0.760
Cl13 0.751 0.000 0.249
Cl14 0.249 0.751 0.000
Cl15 0.500 0.000 0.500

=====

Below is a relaxed Sn2Pb2I crystal, with properties calculated at the GGA-PBEsol level.

Calculated values
- symmetry = I4/mmm, No. 139
- formation energy from raw total energies (eV/atom) = -0.11
- crystal system = tetragonal

a = 4.356 Å, b = 4.356 Å, c = 8.870 Å
α = 104.22°, β = 104.22°, γ = 90.00°
Atoms (fractional coordinates):
Sn1 0.750 0.250 0.500
Sn2 0.250 0.750 0.500
Pb1 0.609 0.609 0.218
Pb2 0.391 0.391 0.782
I1 0.000 0.000 0.000

=====

Below is a relaxed Cr4SeBr crystal, with properties calculated at the GGA-PBEsol level.

Calculated values
- symmetry = F-43m, No. 216
- formation energy from raw total energies (eV/atom) = 0.88
- crystal system = cubic

a = 4.870 Å, b = 4.870 Å, c = 4.870 Å
α = 60.00°, β = 60.00°, γ = 60.00°
Atoms (fractional coordinates):
Se1 0.750 0.750 0.750
Br1 0.000 0.000 0.000
Cr1 0.375 0.874 0.375
Cr2 0.375 0.375 0.874
Cr3 0.874 0.375 0.375
Cr4 0.375 0.375 0.375

=====

Below is a relaxed YPbBr2 crystal, with properties calculated at the GGA-PBEsol level.

Calculated values
- symmetry = C2/m, No. 12
- formation energy from raw total energies (eV/atom) = -1.02
- offset from the most stable computed form (eV per atom) = 0.028
- crystal system = monoclinic

a = 3.575 Å, b = 5.703 Å, c = 6.255 Å
α = 103.69°, β = 106.60°, γ = 90.00°
Atoms (fractional coordinates):
Br1 0.183 0.210 0.365
Pb1 0.000 0.500 0.000
Y1 0.500 0.000 0.000
Br2 0.817 0.790 0.635

=====

Below is a relaxed InTe2PdN crystal, with properties calculated at the GGA-PBEsol level.

Calculated values
- symmetry = P4/mmm, No. 123
- formation energy from raw total energies (eV/atom) = 0.40
- crystal system = tetragonal

a = 3.642 Å, b = 5.596 Å, c = 5.596 Å
α = 90.00°, β = 90.00°, γ = 90.00°
Atoms (fractional coordinates):
Te1 0.000 0.000 0.500
Pd1 0.000 0.000 0.000
Te2 0.000 0.500 0.000
N1 0.500 0.000 0.000
In1 0.500 0.500 0.500

=====

Below is a relaxed Li2TcPt crystal, with properties calculated at the GGA-PBEsol level.

Calculated values
- symmetry = P4/mmm, No. 123
- offset from the most stable computed form (eV per atom) = 0.054
- energy of formation from the pure elements (eV/atom) = -0.006
- crystal system = tetragonal

a = 2.555 Å, b = 2.555 Å, c = 8.416 Å
α = 90.00°, β = 90.00°, γ = 90.00°
Atoms (fractional coordinates):
Pt1 0.500 0.500 0.000
Li1 0.000 0.000 0.233
Li2 0.000 0.000 0.767
Tc1 0.500 0.500 0.500

=====

Below is a relaxed Na6MgCl8 crystal, with properties calculated at the GGA-PBEsol level.

Calculated values
- symmetry = Fm-3m, No. 225
- formation energy from raw total energies (eV/atom) = -1.81
- crystal system = cubic

a = 7.874 Å, b = 7.874 Å, c = 7.874 Å
α = 60.00°, β = 60.00°, γ = 60.00°
Atoms (fractional coordinates):
Na1 0.000 0.500 0.000
Cl1 0.250 0.250 0.250
Na2 0.000 0.000 0.500
Na3 0.500 0.500 0.000
Cl2 0.774 0.226 0.226
Na4 0.000 0.500 0.500
Cl3 0.774 0.226 0.774
Cl4 0.226 0.774 0.226
Na5 0.500 0.000 0.000
Na6 0.500 0.000 0.500
Cl5 0.226 0.774 0.774
Mg1 0.000 0.000 0.000
Cl6 0.774 0.774 0.226
Cl7 0.750 0.750 0.750
Cl8 0.226 0.226 0.774

=====

Below is a relaxed TlAsBr crystal, with properties calculated at the GGA-PBEsol level.

Calculated values
- symmetry = P3m1, No. 156
- formation energy from raw total energies (eV/atom) = 0.15
- crystal system = trigonal

a = 3.480 Å, b = 4.945 Å, c = 4.945 Å
α = 120.00°, β = 90.00°, γ = 90.00°
Atoms (fractional coordinates):
As1 0.162 0.000 0.000
Tl1 0.170 0.667 0.333
Br1 0.668 0.333 0.667

=====

Below is a relaxed CdCuOs crystal, with properties calculated at the GGA-PBEsol level.

Calculated values
- symmetry = I4mm, No. 107
- offset from the most stable computed form (eV per atom) = 0.084
- energy of formation from the pure elements (eV/atom) = 0.498
- crystal system = tetragonal

a = 2.719 Å, b = 2.719 Å, c = 6.284 Å
α = 102.50°, β = 102.50°, γ = 90.00°
Atoms (fractional coordinates):
Cu1 0.674 0.674 0.348
Cd1 0.004 0.004 0.008
Os1 0.322 0.322 0.643

=====

Below is a relaxed ZnP2PdO crystal, with properties calculated at the GGA-PBEsol level.

Calculated values
- symmetry = P4/mmm, No. 123
- formation energy from raw total energies (eV/atom) = 0.53
- crystal system = tetragonal

a = 3.718 Å, b = 4.744 Å, c = 4.744 Å
α = 90.00°, β = 90.00°, γ = 90.00°
Last column: magnetic moment on the atom in μB.
Atoms (fractional coordinates):
Pd1 0.000 0.000 0.000  0.19
Zn1 0.500 0.500 0.500  0.00
O1 0.500 0.000 0.000  0.37
P1 0.000 0.500 0.000  0.01
P2 0.000 0.000 0.500  0.01

=====

Below is a relaxed Rb2InBi2 crystal, with properties calculated at the GGA-PBEsol level.

Calculated values
- symmetry = P4/mbm, No. 127
- energy of formation from the pure elements (eV/atom) = -0.249
- crystal system = tetragonal

a = 5.950 Å, b = 8.092 Å, c = 8.092 Å
α = 90.00°, β = 90.00°, γ = 90.00°
Atoms (fractional coordinates):
Bi1 0.000 0.362 0.862
Rb1 0.500 0.333 0.167
Bi2 0.000 0.638 0.138
In1 0.000 0.000 0.000
In2 0.000 0.500 0.500
Bi3 0.000 0.138 0.362
Rb2 0.500 0.167 0.667
Bi4 0.000 0.862 0.638
Rb3 0.500 0.667 0.833
Rb4 0.500 0.833 0.333

=====

Below is a relaxed ZrZn crystal, with properties calculated at the GGA-PBEsol level.

Calculated values
- symmetry = Pbcm, No. 57
- energy of formation from the pure elements (eV/atom) = -0.243
- crystal system = orthorhombic

a = 5.490 Å, b = 8.310 Å, c = 9.446 Å
α = 90.00°, β = 90.00°, γ = 90.00°
Atoms (fractional coordinates):
Zn1 0.000 0.250 0.073
Zn2 0.750 0.551 0.585
Zr1 0.000 0.750 0.381
Zn3 0.250 0.882 0.133
Zr2 0.500 0.250 0.619
Zn4 0.250 0.449 0.415
Zr3 0.750 0.959 0.126
Zr4 0.750 0.367 0.316
Zn5 0.250 0.382 0.867
Zn6 0.250 0.949 0.585
Zr5 0.500 0.750 0.381
Zr6 0.250 0.633 0.684
Zn7 0.500 0.750 0.927
Zr7 0.250 0.041 0.874
Zn8 0.750 0.051 0.415
Zn9 0.500 0.250 0.073
Zr8 0.750 0.459 0.874
Zr9 0.250 0.133 0.316
Zr10 0.250 0.541 0.126
Zr11 0.750 0.867 0.684
Zn10 0.000 0.750 0.927
Zr12 0.000 0.250 0.619
Zn11 0.750 0.618 0.133
Zn12 0.750 0.118 0.867

=====

Below is a relaxed BaBi3Br crystal, with properties calculated at the GGA-PBEsol level.

Calculated values
- symmetry = Pm-3m, No. 221
- formation energy from raw total energies (eV/atom) = 0.84
- crystal system = cubic

a = 6.235 Å, b = 6.235 Å, c = 6.235 Å
α = 90.00°, β = 90.00°, γ = 90.00°
Atoms (fractional coordinates):
Bi1 0.500 0.000 0.000
Bi2 0.000 0.500 0.000
Bi3 0.000 0.000 0.500
Br1 0.500 0.500 0.500
Ba1 0.000 0.000 0.000

=====

Below is a relaxed MgZnGe2P crystal, with properties calculated at the GGA-PBEsol level.

Calculated values
- symmetry = P4/mmm, No. 123
- energy of formation from the pure elements (eV/atom) = 0.427
- crystal system = tetragonal

a = 4.581 Å, b = 4.757 Å, c = 4.757 Å
α = 90.00°, β = 90.00°, γ = 90.00°
Atoms (fractional coordinates):
Ge1 0.000 0.000 0.500
P1 0.000 0.000 0.000
Zn1 0.500 0.000 0.000
Ge2 0.000 0.500 0.000
Mg1 0.500 0.500 0.500

=====

Below is a relaxed Fe3IN crystal, with properties calculated at the GGA-PBEsol level.

Calculated values
- symmetry = Pm-3m, No. 221
- formation energy from raw total energies (eV/atom) = 2.51
- crystal system = cubic

a = 4.690 Å, b = 4.690 Å, c = 4.690 Å
α = 90.00°, β = 90.00°, γ = 90.00°
Last column: magnetic moment on the atom in μB.
Atoms (fractional coordinates):
Fe1 0.500 0.000 0.000  2.74
Fe2 0.000 0.000 0.500  2.74
I1 0.000 0.000 0.000  -0.04
N1 0.500 0.500 0.500  1.34
Fe3 0.000 0.500 0.000  2.74

=====

Below is a relaxed Sr2Al crystal, with properties calculated at the GGA-PBEsol level.

Calculated values
- symmetry = P-62m, No. 189
- energy of formation from the pure elements (eV/atom) = -0.043
- crystal system = hexagonal

a = 5.265 Å, b = 8.514 Å, c = 8.514 Å
α = 120.00°, β = 90.00°, γ = 90.00°
Atoms (fractional coordinates):
Sr1 0.000 0.000 0.253
Al1 0.000 0.333 0.667
Al2 0.000 0.667 0.333
Sr2 0.000 0.747 0.747
Sr3 0.000 0.253 0.000
Sr4 0.500 0.415 0.415
Sr5 0.500 0.000 0.585
Sr6 0.500 0.585 0.000
Al3 0.500 0.000 0.000

=====

Below is a relaxed BrCl3 crystal, with properties calculated at the GGA-PBEsol level.

Calculated values
- symmetry = P2/m, No. 10
- formation energy from raw total energies (eV/atom) = 0.09
- crystal system = monoclinic

a = 3.641 Å, b = 4.743 Å, c = 6.799 Å
α = 90.00°, β = 90.00°, γ = 90.29°
Atoms (fractional coordinates):
Cl1 0.589 0.700 0.500
Cl2 0.000 0.500 0.000
Br1 0.000 0.000 0.000
Cl3 0.411 0.300 0.500

=====

Below is a relaxed BeAlW2 crystal, with properties calculated at the GGA-PBEsol level.

Calculated values
- symmetry = Pmmm, No. 47
- energy of formation from the pure elements (eV/atom) = 0.234
- crystal system = orthorhombic

a = 2.655 Å, b = 3.966 Å, c = 5.294 Å
α = 90.00°, β = 90.00°, γ = 90.00°
Atoms (fractional coordinates):
W1 0.000 0.000 0.743
Al1 0.500 0.500 0.000
W2 0.000 0.000 0.257
Be1 0.500 0.500 0.500

=====

Below is a relaxed La2CdPb2 crystal, with properties calculated at the GGA-PBEsol level.

Calculated values
- symmetry = P4/mbm, No. 127
- energy of formation from the pure elements (eV/atom) = -0.518
- crystal system = tetragonal

a = 4.704 Å, b = 7.970 Å, c = 7.970 Å
α = 90.00°, β = 90.00°, γ = 90.00°
Atoms (fractional coordinates):
La1 0.500 0.174 0.674
La2 0.500 0.326 0.174
Pb1 0.000 0.633 0.133
Cd1 0.000 0.000 0.000
Pb2 0.000 0.367 0.867
Cd2 0.000 0.500 0.500
Pb3 0.000 0.867 0.633
La3 0.500 0.674 0.826
La4 0.500 0.826 0.326
Pb4 0.000 0.133 0.367